# 1
Material: LiGdAu2
Method: DFT, GGA-PBE
State: optimized geometry

Energy of formation from the pure elements   -710 meV per atom
Energy relative to the lowest polymorph listed for this composition   0.0 meV/atom
Electronic total energy   -6.3475 eV per atom
Total moment   1.804 μB per atom

Unit cell a=4.5974 b=4.5974 c=13.6872 alpha=90.00 beta=90.00 gamma=120.00
With the nearest neighbours (Å) after each atom.
Space group R-3m (No. 166, hexagonal axes)
Inequivalent atoms, fractional coordinates:
Li (0.0000, 0.0000, 0.0000) [3 per cell]  6 Au 2.76
Gd (0.0000, 0.0000, 0.5000) [3 per cell]  8 Au 3.05-3.06
Au (0.0000, 0.0000, 0.2775) [6 per cell]  3 Li 2.76, 4 Gd 3.05-3.06, 3 Au 3.06

=====

# 2
Material: LiGdAu2
Method: DFT, GGA-PBE
State: optimized geometry

Energy of formation from the pure elements   -678 meV per atom
Energy relative to the lowest polymorph listed for this composition   32.6 meV/atom
Electronic total energy   -6.3149 eV per atom
Total moment   1.793 μB per atom

Unit cell a=3.5219 b=3.5219 c=6.5339 alpha=90.00 beta=90.00 gamma=90.00
With the nearest neighbours (Å) after each atom.
Space group P4/mmm (No. 123)
Inequivalent atoms, fractional coordinates:
Li (0.0000, 0.0000, 0.0000) [1 per cell]  8 Au 2.88
Gd (0.0000, 0.0000, 0.5000) [1 per cell]  8 Au 3.09, 2 Li 3.27
Au (0.5000, 0.5000, 0.2199) [2 per cell]  1 Au 2.87, 4 Li 2.88, 4 Gd 3.09

=====

# 3
Material: LiGdAu2
Method: DFT, GGA-PBE
State: optimized geometry

Energy of formation from the pure elements   -636 meV per atom
Energy relative to the lowest polymorph listed for this composition   74.2 meV/atom
Electronic total energy   -6.2732 eV per atom
Total moment   1.804 μB per atom

Unit cell a=4.8170 b=4.8170 c=3.6186 alpha=90.00 beta=90.00 gamma=90.00
With the nearest neighbours (Å) after each atom.
Space group P4/mmm (No. 123)
Inequivalent atoms, fractional coordinates:
Li (0.0000, 0.0000, 0.0000) [1 per cell]  8 Au 3.01
Gd (0.5000, 0.5000, 0.0000) [1 per cell]  8 Au 3.01
Au (0.0000, 0.5000, 0.5000) [2 per cell]  4 Gd 3.01, 4 Li 3.01

=====

> Which value of energy of formation from the pure elements does entry 3 give?

-636 meV per atom